1.
PmThTiN3: optimized geometry, PBE-GGA.

Lattice parameters (Å, degrees): 3.6334 7.2920 8.1024 95.89 90.00 90.00
Closest atoms and distances in Å follow each position.
Element x y z (fractional)
Pm1 0.7500 0.8465 0.8543  5 N 2.40-2.66
Pm2 0.2500 0.1535 0.1457  5 N 2.40-2.66
Th1 0.2500 0.6345 0.1703  6 N 2.39-2.66
Th2 0.7500 0.3655 0.8297  6 N 2.39-2.66
Ti1 0.2500 0.0881 0.5990  4 N 1.98-2.04
Ti2 0.7500 0.9119 0.4010  4 N 1.98-2.04
N1 0.2500 0.8369 0.4626  3 Ti 1.98-2.04
N2 0.7500 0.8869 0.1516  1 Ti 2.01
N3 0.7500 0.3954 0.1261  3 Th 2.39-2.52, 2 Pm 2.55
N4 0.7500 0.1631 0.5374  3 Ti 1.98-2.04
N5 0.2500 0.6046 0.8739  3 Th 2.39-2.52, 2 Pm 2.55
N6 0.2500 0.1131 0.8484  1 Ti 2.01

## Properties
* ΔE_f (raw): -1.300 eV per atom
* space-group type: P2_1/m, No. 11

---

2.
CuReNi2: optimized geometry, PBE-GGA.

Lattice parameters (Å, degrees): 2.5960 2.5960 7.2475 90.00 90.00 90.00
Closest atoms and distances in Å follow each position.
Element x y z (fractional)
Cu1 0.5000 0.5000 0.7658  4 Ni 2.52, 4 Cu 2.60, 4 Re 2.71
Ni1 0.0000 0.0000 0.0047  8 Ni 2.50-2.60, 4 Cu 2.52
Ni2 0.5000 0.5000 0.2392  8 Ni 2.50-2.60, 4 Re 2.58
Re1 0.0000 0.0000 0.4903  4 Ni 2.58, 4 Re 2.60, 4 Cu 2.71

## Properties
* formation enthalpy at 0 K: 0.108 eV per atom
* energy above the most stable polymorph in this dataset: 46 kJ/mol of formula units
* space-group type: P4mm, No. 99

---

3.
Fe4NiRh: optimized geometry, PBE-GGA.

Lattice parameters (Å, degrees): 4.6882 4.6882 4.6882 60.00 60.00 60.00
Closest atoms and distances in Å follow each position.
Element x y z (fractional)
Fe1 0.6248 0.6248 0.1255  6 Fe 2.34-2.35
Fe2 0.6248 0.1255 0.6248  6 Fe 2.34-2.35
Fe3 0.6248 0.6248 0.6248  6 Fe 2.34-2.35
Fe4 0.1255 0.6248 0.6248  6 Fe 2.34-2.35
Ni1 0.2500 0.2500 0.2500  12 Fe 2.75, 4 Rh 2.87
Rh1 0.0000 0.0000 0.0000  12 Fe 2.75, 4 Ni 2.87

## Properties
* formation enthalpy at 0 K: 0.092 eV per atom
* energy above the most stable polymorph in this dataset: 49 kJ/mol of formula units
* space-group type: F-43m, No. 216

---

4.
MgHgTe: optimized geometry, PBE-GGA.

Lattice parameters (Å, degrees): 4.4295 4.4295 5.6950 90.00 90.00 120.00
Closest atoms and distances in Å follow each position.
Element x y z (fractional)
Mg1 0.3333 0.6667 0.6046  3 Te 2.77
Te1 0.6667 0.3333 0.4166  3 Mg 2.77
Hg1 0.0000 0.0000 0.9788  3 Mg 3.33, 3 Te 3.57

## Properties
* ΔE_f (raw): -0.398 eV per atom
* energy above the most stable polymorph in this dataset: 2 kJ/mol of formula units
* space-group type: P3m1, No. 156

---

Number 1: electronic total energy -8.807 eV/atom. Number 2: electronic total energy -6.919 eV/atom. Number 3: electronic total energy -7.739 eV/atom. Number 4: electronic total energy -2.077 eV/atom.